Compound: Ca2Mn2GaO6
Source: Alexandria
Functional: PBE with a Hubbard U
Structure: optimized geometry

Cell: 5.7051 9.0908 5.7909 Å, 90.00 111.81 90.00°
Space group C2/m (No. 12)
One atom of each set of equivalent atoms:
Ca1 0.0000 0.1747 0.0000 [4 per cell]
Mn1 0.0000 0.3364 0.5000 [4 per cell]
Ga1 0.0000 0.0000 0.5000 [2 per cell]
O1 0.2095 0.1686 0.7174 [8 per cell]
O2 0.2407 0.0000 0.3069 [4 per cell]

## Properties
- Crystal system: monoclinic
- Raw total energy: -0.2506 Ha/atom
- DOS at the Fermi energy: 7.04 states/eV/cell